Computed, not measured: a relaxed structure of Tb12Tl6Tc at the PBE-GGA level of DFT.

abc: 12.1704 12.1704 13.4953
angles: 90.00 90.00 120.00
Last column: nearest neighbours and their distance in Å.
Space group R-3 (No. 148, hexagonal axes)
Asymmetric unit:
Tb 0.0372 0.1879 0.3721 x18  1 Tc 2.72
Tb 0.0368 0.8471 0.8930 x18  4 Tl 3.17-3.26
Tl 0.0064 0.6071 0.7643 x18  8 Tb 3.16-3.40
Tc 0.0000 0.0000 0.5000 x3  6 Tb 2.72

Spin magnetization (μB per atom): 0.0000
Energy relative to the elements (kJ per mole of atoms): -11



Computed, not measured: a relaxed structure of CsPm3B4O12 at the PBE-GGA level of DFT.

abc: 10.5052 10.5052 9.6752
angles: 90.00 90.00 120.00
Last column: nearest neighbours and their distance in Å.
Space group R32 (No. 155, hexagonal axes)
Asymmetric unit:
Cs 0.0000 0.0000 0.0000 x3  6 O 3.04
Pm 0.0000 0.5440 0.0000 x9  6 O 2.29-2.45
B 0.0000 0.0000 0.5000 x3  3 O 1.39
B 0.0000 0.4645 0.5000 x9  3 O 1.37-1.39
O 0.0000 0.5965 0.5000 x9  1 B 1.39
O 0.0000 0.8674 0.5000 x9  1 B 1.39
O 0.0060 0.2140 0.7855 x18  1 B 1.37

Spin magnetization (μB per atom): 0.1019
ΔE_f (raw) (eV per atom): -2.6377